(1)
Below is a relaxed Li4CoP crystal, with properties calculated at the PBE level.

Properties
Crystal system = monoclinic
Size of the total moment = 0.0000 μB per atom
Calculated formation energy = -268 meV per atom
DOS(E_F) = 3.86 states/eV/cell
Energy = -3.630 eV/atom

a b c (Å): 7.2484 6.7841 5.1728
angles (deg): 39.88 90.00 90.00
Positions (direct):
Co (0.0000, 0.0000, 0.0000)
P (0.0000, 0.5000, 0.5000)
Li (0.7518, 0.2498, 0.0039)
Li (0.7482, 0.2498, 0.5039)
Li (0.1328, 0.2432, 0.2516)
Li (0.2518, 0.7502, 0.4961)
Li (0.6328, 0.7568, 0.2484)
Li (0.2482, 0.7502, 0.9961)
Li (0.3672, 0.2432, 0.7516)
P (0.5000, 0.5000, 0.0000)
Li (0.8672, 0.7568, 0.7484)
Co (0.5000, 0.0000, 0.5000)

***

(2)
Below is a relaxed LiCo3P2 crystal, with properties calculated at the PBE level.

Properties
Crystal system = monoclinic
Size of the total moment = 0.0004 μB per atom
Calculated formation energy = -552 meV per atom
DOS(E_F) = 14.08 states/eV/cell
Energy = -6.227 eV/atom

a b c (Å): 3.5695 7.5026 8.7166
angles (deg): 107.72 90.00 103.76
Positions (direct):
Co (0.0344, 0.0688, 0.3273)
P (0.4578, 0.9157, 0.2115)
P (0.3609, 0.7218, 0.5425)
Co (0.6840, 0.3681, 0.9680)
Co (0.6162, 0.2323, 0.1985)
Li (0.0000, 0.0000, 0.0000)
Li (0.8418, 0.6837, 0.3002)
Co (0.2131, 0.4261, 0.3932)
Co (0.3838, 0.7677, 0.8015)
Co (0.5000, 0.0000, 0.5000)
P (0.5422, 0.0843, 0.7885)
Co (0.9656, 0.9312, 0.6727)
Co (0.3160, 0.6319, 0.0320)
P (0.6391, 0.2782, 0.4575)
P (0.1910, 0.3820, 0.1281)
Li (0.1582, 0.3163, 0.6998)
Co (0.7869, 0.5739, 0.6068)
P (0.8090, 0.6180, 0.8719)

***

(3)
Below is a relaxed LiPa2Co4P3 crystal, with properties calculated at the PBE level.

Properties
Crystal system = tetragonal
Size of the total moment = 0.0954 μB per atom
Calculated formation energy = -877 meV per atom
DOS(E_F) = 6.06 states/eV/cell
Energy = -7.433 eV/atom

a b c (Å): 3.7573 3.7573 9.8934
angles (deg): 90.00 90.00 90.00
Positions (direct):
P (0.0000, 0.0000, 0.5000)
Pa (0.0000, 0.5000, 0.7490)
Li (0.5000, 0.5000, 0.5000)
Co (0.5000, 0.5000, 0.0000)
Co (0.5000, 0.0000, 0.6514)
P (0.0000, 0.5000, 0.1238)
Co (0.0000, 0.0000, 0.0000)
P (0.5000, 0.0000, 0.8762)
Co (0.0000, 0.5000, 0.3486)
Pa (0.5000, 0.0000, 0.2510)

***

(4)
Below is a relaxed LiCoPPd crystal, with properties calculated at the PBE level.

Properties
Crystal system = cubic
Size of the total moment = 0.3158 μB per atom
Calculated formation energy = -373 meV per atom
DOS(E_F) = 1.69 states/eV/cell
Energy = -5.278 eV/atom

a b c (Å): 4.0450 4.0450 4.0450
angles (deg): 60.00 60.00 60.00
Positions (direct):
Co (0.7500, 0.7500, 0.7500)
P (0.5000, 0.5000, 0.5000)
Pd (0.2500, 0.2500, 0.2500)
Li (0.0000, 0.0000, 0.0000)